Record 1
A geometry-optimized TbZnNi2 structure, computed with GGA-PBE.

Geometry as POSCAR:
```
TbZnNi2
1.0
3.3675 0.0000 0.0000
0.0000 4.3392 0.0000
0.0000 0.0000 4.3392
Ni Zn Tb
2 1 1
direct
0.0000 0.0000 0.5000
0.0000 0.5000 0.0000
0.5000 0.0000 0.0000
0.5000 0.5000 0.5000
```

Output
SG: P4/mmm
Total moment (μB per formula unit): 0.0
Crystal system: tetragonal
Density (g/cm³): 8.95



Record 2
A geometry-optimized Rb2TlCd3Hg4 structure, computed with GGA-PBE.

Geometry as POSCAR:
```
Rb2TlCd3Hg4
1.0
5.4072 0.0000 0.0000
0.0000 5.4072 0.0000
0.0000 0.0000 11.2901
Rb Tl Cd Hg
2 1 3 4
direct
0.5000 0.0000 0.2415
0.0000 0.5000 0.7585
0.5000 0.5000 0.5000
0.0000 0.0000 0.5000
0.5000 0.0000 0.8862
0.0000 0.5000 0.1138
0.5000 0.5000 0.0000
0.0000 0.0000 0.0000
0.5000 0.0000 0.6274
0.0000 0.5000 0.3726
```

Output
SG: P-4m2
Total moment (μB per formula unit): 0.0
Crystal system: tetragonal
Density (g/cm³): 7.62



Energy relative to the elements for the records above, in order: -0.191; -0.127 eV/atom